Record 1
{"formula": "Nd2AsO", "functional": "PBE", "state": "relaxed", "e_above_lowest_polymorph_ev_per_fu": 0.07, "dos_at_fermi_per_ev_cell": 5.81, "magmom_total_mub_per_fu": 0.0, "spacegroup": "P2/c, No. 13", "energy_ev_per_atom": -6.753, "cell": [[5.872, 0.000, 0.000], [0.000, 5.875, 0.121], [0.000, -0.637, 10.906]], "species": ["O", "O", "O", "O", "Nd", "Nd", "Nd", "Nd", "Nd", "Nd", "Nd", "Nd", "As", "As", "As", "As"], "frac_coords": [[0.815, 0.059, 0.123], [0.815, 0.441, 0.377], [0.185, 0.941, 0.877], [0.185, 0.559, 0.623], [0.768, 0.040, 0.360], [0.232, 0.960, 0.640], [0.217, 0.495, 0.391], [0.768, 0.460, 0.140], [0.783, 0.995, 0.891], [0.232, 0.540, 0.860], [0.217, 0.005, 0.109], [0.783, 0.505, 0.609], [0.735, 0.003, 0.625], [0.265, 0.997, 0.375], [0.265, 0.503, 0.125], [0.735, 0.497, 0.875]]}

Record 2
{"formula": "Y3TlRh", "functional": "PBE", "state": "relaxed", "e_above_lowest_polymorph_ev_per_fu": 0.00, "dos_at_fermi_per_ev_cell": 7.34, "magmom_total_mub_per_fu": 0.0, "spacegroup": "P-1, No. 2", "energy_ev_per_atom": -6.326, "cell": [[-0.314, 4.910, -2.294], [-4.265, -1.214, 4.694], [8.291, 3.334, 2.724]], "species": ["Y", "Y", "Y", "Y", "Y", "Y", "Tl", "Tl", "Rh", "Rh"], "frac_coords": [[0.503, 0.199, 0.900], [0.887, 0.663, 0.303], [0.833, 0.770, 0.745], [0.167, 0.230, 0.255], [0.497, 0.801, 0.100], [0.113, 0.337, 0.697], [0.394, 0.779, 0.541], [0.606, 0.221, 0.459], [0.004, 0.268, 0.000], [0.996, 0.732, 0.000]]}

Record 3
{"formula": "Sr2NiHgP", "functional": "PBE", "state": "relaxed", "e_above_lowest_polymorph_ev_per_fu": 0.00, "dos_at_fermi_per_ev_cell": 4.22, "magmom_total_mub_per_fu": 0.0, "spacegroup": "P4/mmm, No. 123", "energy_ev_per_atom": -3.502, "cell": [[-1.466, 4.259, -3.805], [2.400, -3.105, -4.400], [-3.678, -1.876, -0.682]], "species": ["P", "Hg", "Sr", "Sr", "Ni"], "frac_coords": [[0.000, 0.000, 0.000], [0.500, 0.500, 0.500], [0.000, 0.500, 0.000], [0.500, 0.000, 0.000], [0.000, 0.000, 0.500]]}

Record 4
{"formula": "RbSc2Bi2", "functional": "PBE", "state": "relaxed", "e_above_lowest_polymorph_ev_per_fu": 0.79, "dos_at_fermi_per_ev_cell": 4.82, "magmom_total_mub_per_fu": 1.1, "spacegroup": "P4/mbm, No. 127", "energy_ev_per_atom": -4.620, "cell": [[9.012, 0.000, 0.000], [0.000, 9.012, 0.000], [0.000, 0.000, 3.653]], "species": ["Sc", "Sc", "Sc", "Sc", "Rb", "Rb", "Bi", "Bi", "Bi", "Bi"], "frac_coords": [[0.880, 0.620, 0.000], [0.620, 0.120, 0.000], [0.120, 0.380, 0.000], [0.380, 0.880, 0.000], [0.000, 0.000, 0.000], [0.500, 0.500, 0.000], [0.335, 0.165, 0.500], [0.835, 0.335, 0.500], [0.165, 0.665, 0.500], [0.665, 0.835, 0.500]]}

Record 5
{"formula": "Rb5InH6", "functional": "PBE", "state": "relaxed", "dos_at_fermi_per_ev_cell": 0.00, "magmom_total_mub_per_fu": 0.0, "spacegroup": "C2/m, No. 12", "energy_ev_per_atom": -2.350, "cell": [[6.291, 0.586, 3.366], [1.600, 6.902, 0.856], [0.218, 0.293, 7.154]], "species": ["Rb", "Rb", "Rb", "Rb", "Rb", "H", "H", "H", "H", "H", "H", "In"], "frac_coords": [[0.839, 0.500, 0.323], [0.333, 0.000, 0.335], [0.667, 0.000, 0.665], [0.500, 0.500, 0.000], [0.161, 0.500, 0.677], [0.598, 0.244, 0.320], [0.240, 0.239, 0.000], [0.918, 0.244, 0.680], [0.082, 0.756, 0.320], [0.402, 0.756, 0.680], [0.760, 0.761, 0.000], [0.000, 0.000, 0.000]]}